The following is a DFT calculation (PBE) of a relaxed LiSiPd crystal.

Values from the calculation:
Total magnetic moment ... 0.00 μB/cell
E_form (uncorrected) ... -509 meV/atom
DOS(E_F) ... 0.87 states/eV per cell
DFT total energy ... -4.69 eV/atom
Space group ... No. 187

Cell lengths 4.1947, 4.1947, 2.8081 Å; angles 90.00, 90.00, 120.00 degrees
Fractional positions:
Li1 0.0000 0.0000 0.0000
Si1 0.6667 0.3333 0.5000
Pd1 0.3333 0.6667 0.5000